A plane-wave DFT calculation with PBE-GGA was carried out for a geometry-optimized Ca4HfU3As8 structure.

a = 8.1934 Å, b = 8.3247 Å, c = 8.1934 Å
α = 119.48°, β = 120.00°, γ = 90.00°
Closest atoms and distances in Å follow each position.
Atoms (fractional coordinates):
Hf (0.0000, 0.5000, 0.0000)  6 As 2.79
Ca (0.0000, 0.0000, 0.0000)  6 As 2.99
As (0.7506, 0.7278, 0.9892)  1 Hf 2.79, 2 U 2.86, 3 Ca 2.99-3.06
As (0.2386, 0.7278, 0.4772)  1 Hf 2.79, 2 U 2.86, 3 Ca 2.99-3.06
As (0.2554, 0.2662, 0.5108)  3 U 2.86, 3 Ca 2.99
Ca (0.0000, 0.0000, 0.5000)  6 As 2.99
As (0.2494, 0.2722, 0.0108)  1 Hf 2.79, 2 U 2.86, 3 Ca 2.99-3.06
U (0.5000, 0.5000, 0.0000)  6 As 2.86
As (0.7614, 0.2722, 0.5228)  1 Hf 2.79, 2 U 2.86, 3 Ca 2.99-3.06
U (0.0000, 0.5000, 0.5000)  6 As 2.86
As (0.7446, 0.7338, 0.4892)  3 U 2.86, 3 Ca 2.99
As (0.7614, 0.2722, 0.0108)  1 Hf 2.79, 2 U 2.86, 3 Ca 2.99-3.06
U (0.5000, 0.5000, 0.5000)  6 As 2.86
Ca (0.5000, 0.0000, 0.0000)  6 As 3.06
As (0.2386, 0.7278, 0.9892)  1 Hf 2.79, 2 U 2.86, 3 Ca 2.99-3.06
Ca (0.5000, 0.0000, 0.5000)  6 As 2.99

Results
Electronic total energy (eV for the cell shown): -105.1
Calculated volume (A^3/atom): 24.891

A plane-wave DFT calculation with PBE-GGA was carried out for a geometry-optimized Ca3HfU3As8 structure.

a = 8.1592 Å, b = 8.1607 Å, c = 8.3383 Å
α = 119.30°, β = 90.00°, γ = 119.99°
Closest atoms and distances in Å follow each position.
Atoms (fractional coordinates):
U (0.5000, 0.0000, 0.5000)  6 As 2.82-2.85
As (0.7623, 0.5245, 0.2789)  1 Hf 2.77, 2 U 2.82, 2 Ca 3.02
As (0.7444, 0.4889, 0.7333)  3 U 2.85, 3 Ca 2.99
As (0.2377, 0.4755, 0.7211)  1 Hf 2.77, 2 U 2.82, 2 Ca 3.02
Ca (0.0000, 0.0000, 0.0000)  6 As 2.99-3.02
U (0.0000, 0.5000, 0.5000)  6 As 2.82-2.85
As (0.2539, 0.0163, 0.2789)  1 Hf 2.77, 2 U 2.82, 2 Ca 3.02
As (0.7624, 0.0163, 0.2789)  1 Hf 2.77, 2 U 2.82, 2 Ca 3.02
As (0.7461, 0.9837, 0.7211)  1 Hf 2.77, 2 U 2.82, 2 Ca 3.02
As (0.2556, 0.5111, 0.2667)  3 U 2.85, 3 Ca 2.99
U (0.5000, 0.5000, 0.5000)  6 As 2.82-2.85
Hf (0.0000, 0.0000, 0.5000)  6 As 2.77
As (0.2376, 0.9837, 0.7211)  1 Hf 2.77, 2 U 2.82, 2 Ca 3.02
Ca (0.0000, 0.5000, 0.0000)  6 As 2.99-3.02
Ca (0.5000, 0.5000, 0.0000)  6 As 2.99-3.02

Results
Electronic total energy (eV for the cell shown): -99.7
Calculated volume (A^3/atom): 26.449

A plane-wave DFT calculation with PBE-GGA was carried out for a geometry-optimized Ca3YHf2As6 structure.

a = 6.9618 Å, b = 6.9618 Å, c = 7.2384 Å
α = 99.27°, β = 99.27°, γ = 120.07°
Closest atoms and distances in Å follow each position.
Atoms (fractional coordinates):
Ca (0.5000, 0.5000, 0.5000)  6 As 2.91-3.01
Y (0.0000, 0.0000, 0.0000)  6 As 2.87-2.88
Ca (0.1626, 0.8374, 0.5000)  6 As 2.93-3.02
Ca (0.8374, 0.1626, 0.5000)  6 As 2.93-3.02
As (0.7279, 0.7279, 0.2262)  2 Hf 2.76, 1 Y 2.87, 3 Ca 2.91-2.99
As (0.4237, 0.0765, 0.2280)  2 Hf 2.75-2.76, 1 Y 2.88, 3 Ca 2.93-3.02
As (0.5763, 0.9235, 0.7720)  2 Hf 2.75-2.76, 1 Y 2.88, 3 Ca 2.93-3.02
As (0.9235, 0.5763, 0.7720)  2 Hf 2.75-2.76, 1 Y 2.88, 3 Ca 2.93-3.02
As (0.0765, 0.4237, 0.2280)  2 Hf 2.75-2.76, 1 Y 2.88, 3 Ca 2.93-3.02
As (0.2721, 0.2721, 0.7738)  2 Hf 2.76, 1 Y 2.87, 3 Ca 2.91-2.99
Hf (0.6676, 0.3324, 0.0000)  6 As 2.75-2.76
Hf (0.3324, 0.6676, 0.0000)  6 As 2.75-2.76

Results
Electronic total energy (eV for the cell shown): -74.5
Calculated volume (A^3/atom): 23.949

A plane-wave DFT calculation with PBE-GGA was carried out for a geometry-optimized CaY2HfAs4 structure.

a = 4.0544 Å, b = 7.0792 Å, c = 6.9896 Å
α = 109.03°, β = 90.00°, γ = 90.00°
Closest atoms and distances in Å follow each position.
Atoms (fractional coordinates):
As (0.0000, 0.2383, 0.7552)  1 Hf 2.77, 3 Y 2.86-2.96, 2 Ca 2.90
Y (0.0000, 0.5000, 0.5000)  6 As 2.96
Ca (0.5000, 0.5000, 0.0000)  6 As 2.88-2.90
Hf (0.0000, 0.0000, 0.0000)  6 As 2.77-2.80
As (0.5000, 0.2352, 0.2368)  2 Hf 2.80, 3 Y 2.86-2.96, 1 Ca 2.88
Y (0.5000, 0.0000, 0.5000)  6 As 2.86
As (0.0000, 0.7617, 0.2448)  1 Hf 2.77, 3 Y 2.86-2.96, 2 Ca 2.90
As (0.5000, 0.7648, 0.7632)  2 Hf 2.80, 3 Y 2.86-2.96, 1 Ca 2.88

Results
Electronic total energy (eV for the cell shown): -53.9
Calculated volume (A^3/atom): 23.707

A plane-wave DFT calculation with PBE-GGA was carried out for a geometry-optimized CaHfZnAs3 structure.

a = 3.9211 Å, b = 8.0395 Å, c = 8.9003 Å
α = 105.24°, β = 90.00°, γ = 90.00°
Closest atoms and distances in Å follow each position.
Atoms (fractional coordinates):
Ca (0.2500, 0.1983, 0.2361)  7 As 2.98-3.17
As (0.2500, 0.5532, 0.8345)  3 Hf 2.71-2.74, 2 Ca 2.98
Zn (0.2500, 0.0894, 0.5916)  4 As 2.49-2.70, 2 Zn 2.71
Ca (0.7500, 0.8017, 0.7639)  7 As 2.98-3.17
As (0.7500, 0.2557, 0.5253)  3 Zn 2.53-2.70, 1 Hf 2.77
As (0.7500, 0.4468, 0.1655)  3 Hf 2.71-2.74, 2 Ca 2.98
Zn (0.7500, 0.9106, 0.4084)  4 As 2.49-2.70, 2 Zn 2.71
Hf (0.2500, 0.6748, 0.1525)  6 As 2.71-2.77
Hf (0.7500, 0.3252, 0.8475)  6 As 2.71-2.77
As (0.7500, 0.9011, 0.1267)  1 Zn 2.49, 2 Hf 2.73
As (0.2500, 0.7443, 0.4747)  3 Zn 2.53-2.70, 1 Hf 2.77
As (0.2500, 0.0989, 0.8733)  1 Zn 2.49, 2 Hf 2.73

Results
Electronic total energy (eV for the cell shown): -63.1
Calculated volume (A^3/atom): 22.559

A plane-wave DFT calculation with PBE-GGA was carried out for a geometry-optimized CaHfZnAs2 structure.

a = 5.1589 Å, b = 4.8962 Å, c = 5.1589 Å
α = 90.00°, β = 90.00°, γ = 90.00°
Closest atoms and distances in Å follow each position.
Atoms (fractional coordinates):
Ca (0.0000, 0.0000, 0.0000)  2 Zn 2.45, 4 As 2.58
Hf (0.5000, 0.5000, 0.5000)  8 As 3.56, 4 Zn 3.65
As (0.5000, 0.0000, 0.0000)  2 Ca 2.58
Zn (0.0000, 0.5000, 0.0000)  2 Ca 2.45
As (0.0000, 0.0000, 0.5000)  2 Ca 2.58

Results
Electronic total energy (eV for the cell shown): -18.4
Calculated volume (A^3/atom): 26.062

A plane-wave DFT calculation with PBE-GGA was carried out for a geometry-optimized Ca3HfZr2As6 structure.

a = 6.8623 Å, b = 6.8623 Å, c = 7.1889 Å
α = 99.15°, β = 99.15°, γ = 120.00°
Closest atoms and distances in Å follow each position.
Atoms (fractional coordinates):
As (0.4062, 0.0752, 0.2260)  1 Hf 2.74, 2 Zr 2.76-2.77, 3 Ca 2.95-2.96
As (0.2552, 0.2552, 0.7735)  1 Hf 2.74, 2 Zr 2.77, 3 Ca 2.95-2.96
As (0.9248, 0.5938, 0.7740)  1 Hf 2.74, 2 Zr 2.76-2.77, 3 Ca 2.95-2.96
As (0.7448, 0.7448, 0.2265)  1 Hf 2.74, 2 Zr 2.77, 3 Ca 2.95-2.96
Zr (0.3336, 0.6664, 0.0000)  6 As 2.76-2.77
As (0.5938, 0.9248, 0.7740)  1 Hf 2.74, 2 Zr 2.76-2.77, 3 Ca 2.95-2.96
Ca (0.5000, 0.5000, 0.5000)  6 As 2.95-2.96
Hf (0.0000, 0.0000, 0.0000)  6 As 2.74
Ca (0.8323, 0.1677, 0.5000)  6 As 2.95-2.96
As (0.0752, 0.4062, 0.2260)  1 Hf 2.74, 2 Zr 2.76-2.77, 3 Ca 2.95-2.96
Zr (0.6664, 0.3336, 0.0000)  6 As 2.76-2.77
Ca (0.1677, 0.8323, 0.5000)  6 As 2.95-2.96

Results
Electronic total energy (eV for the cell shown): -75.0
Calculated volume (A^3/atom): 23.166

A plane-wave DFT calculation with PBE-GGA was carried out for a geometry-optimized CaHg2As structure.

a = 5.8392 Å, b = 5.8392 Å, c = 5.8392 Å
α = 48.26°, β = 48.26°, γ = 48.26°
Closest atoms and distances in Å follow each position.
Atoms (fractional coordinates):
Ca (0.7500, 0.7500, 0.7500)  6 Hg 3.11
As (0.2500, 0.2500, 0.2500)  6 Hg 2.98
Hg (0.5103, 0.5103, 0.5103)  3 As 2.98, 3 Ca 3.11
Hg (0.9897, 0.9897, 0.9897)  3 As 2.98, 3 Ca 3.11

Results
Electronic total energy (eV for the cell shown): -8.4
Calculated volume (A^3/atom): 25.400

Computed calculated formation energy, in the same sequence as the records: -1.01; -0.85; -1.18; -1.30; -0.73; 0.83; -1.17; -0.30 eV/atom.